This record from Alexandria via LeMat-Bulk describes an optimized crystal structure of KNa3TlCd. The functional is PBE.

Calculated values
The mass density is 3.15 g cm⁻³. The total magnetic moment is 0.000 μB/atom. The value obtained for the energy of formation from the pure elements is 0.012 eV per atom. The calculation puts the total energy at -16.53 eV per cell.

The structure in CIF format:
```
data_KNa3TlCd
_chemical_formula_sum 'K2 Na6 Tl2 Cd2'
_cell_length_a 8.980
_cell_length_b 8.980
_cell_length_c 6.938
_cell_angle_alpha 90.00
_cell_angle_beta 90.00
_cell_angle_gamma 126.80
_space_group_name_H-M_alt 'P 1'
_space_group_IT_number 1
loop_
_space_group_symop_operation_xyz
'x,y,z'
loop_
_atom_site_label
_atom_site_type_symbol
_atom_site_fract_x
_atom_site_fract_y
_atom_site_fract_z
_atom_site_occupancy
K1 K 0.215 0.785 0.750 1
K2 K 0.785 0.215 0.250 1
Na1 Na 0.201 0.201 0.000 1
Na2 Na 0.201 0.201 0.500 1
Na3 Na 0.358 0.642 0.250 1
Na4 Na 0.642 0.358 0.750 1
Na5 Na 0.799 0.799 0.000 1
Na6 Na 0.799 0.799 0.500 1
Tl1 Tl 0.429 0.571 0.750 1
Tl2 Tl 0.571 0.429 0.250 1
Cd1 Cd 0.149 0.851 0.250 1
Cd2 Cd 0.851 0.149 0.750 1
```


This record from Alexandria via LeMat-Bulk describes an optimized crystal structure of LiTlBi3. The functional is PBE.

Calculated values
The mass density is 6.74 g cm⁻³. The offset from the most stable computed form comes out at 471 meV/atom. The total magnetic moment is 0.000 μB/atom. The value obtained for the energy of formation from the pure elements is 0.620 eV per atom. The calculation puts the total energy at -12.82 eV per cell.

The structure in CIF format:
```
data_LiTlBi3
_chemical_formula_sum 'Li1 Tl1 Bi3'
_cell_length_a 5.912
_cell_length_b 5.912
_cell_length_c 5.912
_cell_angle_alpha 90.00
_cell_angle_beta 90.00
_cell_angle_gamma 90.00
_space_group_name_H-M_alt 'P 1'
_space_group_IT_number 1
loop_
_space_group_symop_operation_xyz
'x,y,z'
loop_
_atom_site_label
_atom_site_type_symbol
_atom_site_fract_x
_atom_site_fract_y
_atom_site_fract_z
_atom_site_occupancy
Li1 Li 0.000 0.000 0.000 1
Tl1 Tl 0.500 0.500 0.500 1
Bi1 Bi 0.000 0.500 0.500 1
Bi2 Bi 0.500 0.000 0.500 1
Bi3 Bi 0.500 0.500 0.000 1
```


This record from Alexandria via LeMat-Bulk describes an optimized crystal structure of Cs3Ge2Br5Cl2. The functional is PBE.

Calculated values
The formation energy (no corrections) is -1276.5 meV/atom. The mass density is 3.75 g cm⁻³. The total magnetic moment is 0.000 μB/atom. The calculation puts the total energy at -39.17 eV per cell.

The structure in CIF format:
```
data_Cs3Ge2Br5Cl2
_chemical_formula_sum 'Cs3 Ge2 Br5 Cl2'
_cell_length_a 14.796
_cell_length_b 14.796
_cell_length_c 14.796
_cell_angle_alpha 158.12
_cell_angle_beta 158.12
_cell_angle_gamma 31.13
_space_group_name_H-M_alt 'P 1'
_space_group_IT_number 1
loop_
_space_group_symop_operation_xyz
'x,y,z'
loop_
_atom_site_label
_atom_site_type_symbol
_atom_site_fract_x
_atom_site_fract_y
_atom_site_fract_z
_atom_site_occupancy
Cs1 Cs 0.000 0.000 0.000 1
Cs2 Cs 0.185 0.185 0.000 1
Cs3 Cs 0.815 0.815 0.000 1
Ge1 Ge 0.398 0.398 0.000 1
Ge2 Ge 0.602 0.602 0.000 1
Br1 Br 0.099 0.599 0.500 1
Br2 Br 0.401 0.901 0.500 1
Br3 Br 0.500 0.500 0.000 1
Br4 Br 0.599 0.099 0.500 1
Br5 Br 0.901 0.401 0.500 1
Cl1 Cl 0.307 0.307 0.000 1
Cl2 Cl 0.693 0.693 0.000 1
```


This record from Alexandria via LeMat-Bulk describes an optimized crystal structure of Li2AlAg. The functional is PBE.

Calculated values
The mass density is 3.82 g cm⁻³. The total magnetic moment is 0.000 μB/atom. The value obtained for the energy of formation from the pure elements is -0.194 eV per atom. The calculation puts the total energy at -11.20 eV per cell.

The structure in CIF format:
```
data_Li2AlAg
_chemical_formula_sum 'Li2 Al1 Ag1'
_cell_length_a 4.966
_cell_length_b 4.966
_cell_length_c 4.746
_cell_angle_alpha 106.16
_cell_angle_beta 106.16
_cell_angle_gamma 35.28
_space_group_name_H-M_alt 'P 1'
_space_group_IT_number 1
loop_
_space_group_symop_operation_xyz
'x,y,z'
loop_
_atom_site_label
_atom_site_type_symbol
_atom_site_fract_x
_atom_site_fract_y
_atom_site_fract_z
_atom_site_occupancy
Li1 Li 0.000 0.000 0.000 1
Li2 Li 0.242 0.242 0.800 1
Al1 Al 0.489 0.489 0.484 1
Ag1 Ag 0.743 0.743 0.309 1
```